! LiMnGeO4 | Alexandria | PBE+U | relaxed; values from VASP
&SYSTEM
  ibrav = 0, nat = 14, ntyp = 4
/
ATOMIC_SPECIES
Li 6.94 Li.upf
Mn 54.94 Mn.upf
Ge 72.64 Ge.upf
O 16.00 O.upf
CELL_PARAMETERS angstrom
2.831 -4.193 0.000
2.831 4.193 0.000
0.000 0.000 6.378
ATOMIC_POSITIONS angstrom
Li 2.831 2.788 4.783
Li 2.831 -2.788 1.594
Mn 2.831 0.000 0.000
Mn 2.831 0.000 3.189
Ge 2.831 2.883 1.594
Ge 2.831 -2.883 4.783
O 1.380 0.146 4.783
O 1.380 -0.146 1.594
O 2.831 1.905 0.132
O 2.831 1.905 3.057
O 2.831 -1.905 3.321
O 2.831 -1.905 6.246
O 4.282 0.146 4.783
O 4.282 -0.146 1.594
! electronic total energy	-6.566	eV per atom
! DOS at the Fermi energy	0.35	states/eV/f.u.
! SG	Cmcm, No. 63